# PBE+U TlVF3, optimized geometry
data_TlVF3
_chemical_formula_sum 'Tl2 V2 F6'
_cell_length_a 4.2201
_cell_length_b 6.9061
_cell_length_c 7.2071
_cell_angle_alpha 110.45
_cell_angle_beta 91.84
_cell_angle_gamma 106.66
_space_group_name_H-M_alt 'P 1'
_space_group_IT_number 1
loop_
_space_group_symop_operation_xyz
'x,y,z'
loop_
_atom_site_label
_atom_site_type_symbol
_atom_site_fract_x
_atom_site_fract_y
_atom_site_fract_z
Tl1 Tl 0.0000 0.0000 0.0000
Tl2 Tl 0.2710 0.3997 0.7791
V1 V 0.5279 0.9345 0.4078
V2 V 0.8463 0.5620 0.4226
F1 F 0.0017 0.8790 0.4092
F2 F 0.3615 0.5978 0.4053
F3 F 0.4496 0.7796 0.0940
F4 F 0.6181 0.0841 0.7206
F5 F 0.6822 0.2320 0.3611
F6 F 0.8762 0.6310 0.7214
# **Spin magnetization**: 3.000 μB per formula unit
# **Total DFT energy (no corrections)**: -5.3168 eV/atom
# **Relative energy among the computed polymorphs**: 107 meV/atom